--- i ---
CaS3Br | PBE | optimized geometry

Crystal system: cubic
SG: No. 221

```
CaS3Br
1.0
5.462 0.000 0.000
0.000 5.462 0.000
0.000 0.000 5.462
Ca S Br
1 3 1
Direct
0.000 0.000 0.000
0.000 0.500 0.000
0.000 0.000 0.500
0.500 0.000 0.000
0.500 0.500 0.500
```



--- ii ---
CaS3Br | PBE | optimized geometry

Crystal system: cubic
SG: No. 221

```
CaS3Br
1.0
-1.801 -4.354 1.368
0.736 -1.729 -4.532
4.504 -1.459 1.288
Ca S Br
1 3 1
Direct
0.500 0.500 0.500
0.000 0.500 0.000
0.000 0.000 0.500
0.500 0.000 0.000
0.000 0.000 0.000
```



Which structure loses on stability? i does.



--- i ---
CaS2Br2 | PBE | optimized geometry

Crystal system: tetragonal
SG: No. 127

```
CaS2Br2
1.0
-2.030 5.119 -4.795
-7.011 -1.339 1.538
0.132 3.346 3.516
Ca S Br
2 4 4
Direct
0.000 0.000 0.000
0.500 0.500 0.000
0.406 0.906 0.000
0.906 0.594 0.000
0.594 0.094 0.000
0.094 0.406 0.000
0.241 0.741 0.500
0.741 0.759 0.500
0.759 0.259 0.500
0.259 0.241 0.500
```



--- ii ---
CaS2Br2 | PBE | optimized geometry

Crystal system: tetragonal
SG: No. 139

```
CaS2Br2
1.0
-1.464 3.475 -4.701
-5.824 -0.450 1.481
-3.330 4.572 0.554
Ca S Br
1 2 2
Direct
0.000 0.000 0.000
0.374 0.374 0.252
0.626 0.626 0.748
0.750 0.250 0.500
0.250 0.750 0.500
```



Which structure loses on stability? ii does.



--- i ---
CaSb3Br | PBE | optimized geometry

Crystal system: cubic
SG: No. 221

```
CaSb3Br
1.0
-1.941 -0.928 5.369
-0.079 -5.694 -1.013
5.448 -0.413 1.898
Sb Ca Br
3 1 1
Direct
0.000 0.500 0.000
0.000 0.000 0.500
0.500 0.000 0.000
0.000 0.000 0.000
0.500 0.500 0.500
```



--- ii ---
CaSb3Br | PBE | optimized geometry

Crystal system: cubic
SG: No. 221

```
CaSb3Br
1.0
5.534 0.000 0.000
0.000 5.534 0.000
0.000 0.000 5.534
Sb Ca Br
3 1 1
Direct
0.000 0.500 0.000
0.000 0.000 0.500
0.500 0.000 0.000
0.500 0.500 0.500
0.000 0.000 0.000
```



Which structure loses on stability? i does.



--- i ---
CaSbBr2 | PBE | optimized geometry

Crystal system: monoclinic
SG: No. 6

```
CaSbBr2
1.0
5.924 0.000 0.000
0.000 3.879 -0.003
0.000 1.929 5.156
Sb Ca Br
1 1 2
Direct
0.500 0.720 0.684
0.000 0.307 0.512
0.000 0.014 0.097
0.500 0.459 0.207
```



--- ii ---
CaSbBr2 | PBE | optimized geometry

Crystal system: tetragonal
SG: No. 139

```
CaSbBr2
1.0
-1.731 5.384 1.413
-5.070 0.867 -2.743
1.687 -4.402 3.429
Sb Ca Br
1 1 2
Direct
0.750 0.250 0.500
0.250 0.750 0.500
0.000 0.000 0.000
0.500 0.500 0.000
```



--- iii ---
CaSbBr2 | PBE | optimized geometry

Crystal system: tetragonal
SG: No. 99

```
CaSbBr2
1.0
-3.664 1.298 0.625
0.107 -1.457 3.655
2.690 6.404 2.473
Sb Ca Br
1 1 2
Direct
0.500 0.500 0.744
0.000 0.000 0.435
0.000 0.000 0.011
0.500 0.500 0.310
```



--- iv ---
CaSbBr2 | PBE | optimized geometry

Crystal system: cubic
SG: No. 216

```
CaSbBr2
1.0
5.541 0.000 0.000
2.771 4.799 0.000
2.771 1.600 4.524
Sb Ca Br
1 1 2
Direct
0.750 0.750 0.750
0.500 0.500 0.500
0.000 0.000 0.000
0.250 0.250 0.250
```



Which structure loses on stability? iv does.



--- i ---
CaSbBr | PBE | optimized geometry

Crystal system: hexagonal
SG: No. 187

```
CaSbBr
1.0
-0.284 3.929 -3.325
-0.500 -4.846 -1.687
-3.765 0.196 0.553
Sb Ca Br
1 1 1
Direct
0.333 0.667 0.667
0.667 0.333 0.166
0.000 0.000 0.167
```



--- ii ---
CaSbBr | PBE | optimized geometry

Crystal system: cubic
SG: No. 216

```
CaSbBr
1.0
5.195 0.000 0.000
2.598 4.499 0.000
2.598 1.500 4.242
Sb Ca Br
1 1 1
Direct
0.500 0.500 0.500
0.000 0.000 0.000
0.750 0.750 0.750
```



--- iii ---
CaSbBr | PBE | optimized geometry

Crystal system: cubic
SG: No. 216

```
CaSbBr
1.0
-1.231 2.125 -4.725
-3.740 -2.260 -3.043
-4.693 2.420 -0.689
Sb Ca Br
1 1 1
Direct
0.000 0.000 0.000
0.750 0.750 0.750
0.500 0.500 0.500
```



Which structure loses on stability? ii does.



--- i ---
CaSbSe2Br | PBE | optimized geometry

Crystal system: tetragonal
SG: No. 123

```
CaSbSe2Br
1.0
-2.085 0.199 -5.125
-4.156 -3.307 1.562
-2.848 4.204 1.322
Sb Ca Se Br
1 1 2 1
Direct
0.500 0.500 0.500
0.000 0.000 0.000
0.000 0.500 0.000
0.500 0.000 0.000
0.000 0.000 0.500
```



--- ii ---
CaSbSe2Br | PBE | optimized geometry

Crystal system: tetragonal
SG: No. 123

```
CaSbSe2Br
1.0
-2.756 3.237 -3.409
0.740 -3.603 -4.021
-4.609 -2.479 1.373
Sb Ca Se Br
1 1 2 1
Direct
0.000 0.000 0.000
0.500 0.500 0.500
0.000 0.500 0.000
0.500 0.000 0.000
0.000 0.000 0.500
```



Which structure loses on stability? i does.



--- i ---
CaSbTe2Br | PBE | optimized geometry

Crystal system: tetragonal
SG: No. 123

```
CaSbTe2Br
1.0
5.711 0.000 0.000
0.000 5.711 0.000
0.000 0.000 6.040
Sb Ca Te Br
1 1 2 1
Direct
0.000 0.000 0.500
0.000 0.000 0.000
0.000 0.500 0.000
0.500 0.000 0.000
0.500 0.500 0.500
```



--- ii ---
CaSbTe2Br | PBE | optimized geometry

Crystal system: tetragonal
SG: No. 123

```
CaSbTe2Br
1.0
5.748 0.000 0.000
0.000 5.748 0.000
0.000 0.000 5.402
Sb Ca Te Br
1 1 2 1
Direct
0.000 0.000 0.500
0.500 0.500 0.500
0.000 0.500 0.000
0.500 0.000 0.000
0.000 0.000 0.000
```



Which structure loses on stability? i does.



--- i ---
CaSb2TeBr | PBE | optimized geometry

Crystal system: tetragonal
SG: No. 123

```
CaSb2TeBr
1.0
-5.494 -0.871 1.896
-0.581 -4.490 -3.747
1.923 -3.541 3.946
Sb Ca Te Br
2 1 1 1
Direct
0.000 0.500 0.000
0.500 0.000 0.000
0.000 0.000 0.000
0.000 0.000 0.500
0.500 0.500 0.500
```



--- ii ---
CaSb2TeBr | PBE | optimized geometry

Crystal system: tetragonal
SG: No. 123

```
CaSb2TeBr
1.0
-4.946 -0.814 2.222
0.772 -5.422 -0.266
2.377 0.077 5.319
Sb Ca Te Br
2 1 1 1
Direct
0.000 0.500 0.000
0.500 0.000 0.000
0.500 0.500 0.500
0.000 0.000 0.500
0.000 0.000 0.000
```



Which structure loses on stability? i does.